Model a:
A relaxed structure of FeBi3S. Source: Alexandria via LeMat-Bulk, functional GGA-PBE.

Lattice parameters (Å, degrees): 5.355 5.355 5.355 90.00 90.00 90.00
Space group Pm-3m (No. 221)
Unique sites:
Fe  0.000  0.000  0.000 (multiplicity 1)
Bi  0.000  0.500  0.500 (multiplicity 3)
S  0.500  0.500  0.500 (multiplicity 1)


Model b:
A relaxed structure of FeBi3S. Source: Alexandria via LeMat-Bulk, functional GGA-PBE.

Lattice parameters (Å, degrees): 5.098 5.098 5.098 90.00 90.00 90.00
Space group Pm-3m (No. 221)
Unique sites:
Fe  0.000  0.000  0.000 (multiplicity 1)
Bi  0.000  0.000  0.500 (multiplicity 3)
S  0.500  0.500  0.500 (multiplicity 1)


The structure with the least stability is model a.


Model a:
A relaxed structure of FeBiSb2Te. Source: Alexandria via LeMat-Bulk, functional GGA-PBE.

Lattice parameters (Å, degrees): 5.758 5.758 5.897 90.00 90.00 90.00
Space group P4/mmm (No. 123)
Unique sites:
Fe  0.000  0.000  0.000 (multiplicity 1)
Bi  0.500  0.500  0.500 (multiplicity 1)
Sb  0.000  0.500  0.500 (multiplicity 2)
Te  0.500  0.500  0.000 (multiplicity 1)


Model b:
A relaxed structure of FeBiSb2Te. Source: Alexandria via LeMat-Bulk, functional GGA-PBE.

Lattice parameters (Å, degrees): 4.842 4.842 5.611 90.00 90.00 90.00
Space group P4/mmm (No. 123)
Unique sites:
Fe  0.000  0.000  0.000 (multiplicity 1)
Bi  0.500  0.500  0.500 (multiplicity 1)
Sb  0.000  0.500  0.000 (multiplicity 2)
Te  0.000  0.000  0.500 (multiplicity 1)


The structure with the least stability is model a.


Model a:
A relaxed structure of ScFeBi2. Source: Alexandria via LeMat-Bulk, functional GGA-PBE.

Lattice parameters (Å, degrees): 7.793 7.793 6.208 90.00 90.00 90.00
Space group I-42d (No. 122)
Unique sites:
Sc  0.000  0.000  0.000 (multiplicity 4)
Fe  0.000  0.000  0.500 (multiplicity 4)
Bi  0.196  0.250  0.625 (multiplicity 8)


Model b:
A relaxed structure of ScFeBi2. Source: Alexandria via LeMat-Bulk, functional GGA-PBE.

Lattice parameters (Å, degrees): 7.032 7.032 7.032 90.00 90.00 90.00
Space group Fm-3m (No. 225)
Unique sites:
Sc  0.000  0.000  0.000 (multiplicity 4)
Fe  0.000  0.000  0.500 (multiplicity 4)
Bi  0.250  0.250  0.250 (multiplicity 8)


The structure with the least stability is model b.


Model a:
A relaxed structure of ScFeBi3. Source: Alexandria via LeMat-Bulk, functional GGA-PBE.

Lattice parameters (Å, degrees): 5.207 5.207 5.207 90.00 90.00 90.00
Space group Pm-3m (No. 221)
Unique sites:
Sc  0.000  0.000  0.000 (multiplicity 1)
Fe  0.500  0.500  0.500 (multiplicity 1)
Bi  0.000  0.500  0.500 (multiplicity 3)


Model b:
A relaxed structure of ScFeBi3. Source: Alexandria via LeMat-Bulk, functional GGA-PBE.

Lattice parameters (Å, degrees): 5.554 5.554 5.554 90.00 90.00 90.00
Space group Pm-3m (No. 221)
Unique sites:
Sc  0.000  0.000  0.000 (multiplicity 1)
Fe  0.500  0.500  0.500 (multiplicity 1)
Bi  0.000  0.000  0.500 (multiplicity 3)


The structure with the least stability is model b.